1.
# Li2CaZn | the Alexandria database | meta-GGA SCAN | PBEsol geometry
data_Li2CaZn
_space_group_name_H-M_alt 'R -3 m'
_space_group_IT_number 166
_space_group_name_Hall '-R 3 2"'
_cell_length_a 4.5411
_cell_length_b 4.5411
_cell_length_c 14.2973
_cell_angle_alpha 90.00
_cell_angle_beta 90.00
_cell_angle_gamma 120.00
loop_
_atom_site_label
_atom_site_fract_x
_atom_site_fract_y
_atom_site_fract_z
Li1 0.0000 0.0000 0.2172
Ca1 0.0000 0.0000 0.0000
Zn1 0.0000 0.0000 0.5000
# Raw total energy: -84.530 eV per cell
# DFT formation energy: -55 meV/atom


2.
# BaScCl4 | the Alexandria database | meta-GGA SCAN | PBEsol geometry
data_BaScCl4
_space_group_name_H-M_alt 'F -4 3 m'
_space_group_IT_number 216
_space_group_name_Hall 'F -4 2 3'
_cell_length_a 8.424
_cell_length_b 8.424
_cell_length_c 8.424
_cell_angle_alpha 90.00
_cell_angle_beta 90.00
_cell_angle_gamma 90.00
loop_
_atom_site_label
_atom_site_fract_x
_atom_site_fract_y
_atom_site_fract_z
Ba1 0.000 0.000 0.000
Sc1 0.250 0.250 0.750
Cl1 0.125 0.125 0.375
# Formation energy without anion corrections: -0.799 eV/atom
# Raw total energy: -361.964 eV per cell